(1)
KTbTeO after structural relaxation, computed with PBE.

```
data_KTbTeO
_symmetry_space_group_name_H-M 'P 1'
_symmetry_Int_Tables_number 1
_symmetry_space_group_name_Hall 'P 1'
_cell_length_a 4.244
_cell_length_b 4.244
_cell_length_c 10.684
_cell_angle_alpha 90.00
_cell_angle_beta 90.00
_cell_angle_gamma 90.00
loop_
_atom_site_label
_atom_site_type_symbol
_atom_site_fract_x
_atom_site_fract_y
_atom_site_fract_z
O1 O 0.250 0.750 0.000
Te1 Te 0.250 0.250 0.736
O2 O 0.750 0.250 0.000
Tb1 Tb 0.250 0.250 0.089
Te2 Te 0.750 0.750 0.264
Tb2 Tb 0.750 0.750 0.911
K1 K 0.250 0.750 0.500
K2 K 0.750 0.250 0.500
```

Summary:
The energy above the most stable polymorph in this dataset is 80 kJ/mol of formula units.


(2)
K2Na3Pt3N3 after structural relaxation, computed with PBE.

```
data_K2Na3Pt3N3
_symmetry_space_group_name_H-M 'P 1'
_symmetry_Int_Tables_number 1
_symmetry_space_group_name_Hall 'P 1'
_cell_length_a 8.566
_cell_length_b 8.566
_cell_length_c 3.761
_cell_angle_alpha 90.00
_cell_angle_beta 90.00
_cell_angle_gamma 120.00
loop_
_atom_site_label
_atom_site_type_symbol
_atom_site_fract_x
_atom_site_fract_y
_atom_site_fract_z
Pt1 Pt 0.000 0.674 0.500
Pt2 Pt 0.326 0.326 0.500
Na1 Na 0.765 0.765 0.000
N1 N 0.328 0.328 0.000
Na2 Na 0.235 0.000 0.000
Na3 Na 0.000 0.235 0.000
Pt3 Pt 0.674 0.000 0.500
N2 N 0.000 0.672 0.000
K1 K 0.333 0.667 0.000
K2 K 0.667 0.333 0.000
N3 N 0.672 0.000 0.000
```

Summary:
The value obtained for the energy is -51.545 eV/cell.


(3)
Tm2Sc2CBr5 after structural relaxation, computed with PBE.

```
data_Tm2Sc2CBr5
_symmetry_space_group_name_H-M 'P 1'
_symmetry_Int_Tables_number 1
_symmetry_space_group_name_Hall 'P 1'
_cell_length_a 9.849
_cell_length_b 9.849
_cell_length_c 7.951
_cell_angle_alpha 101.46
_cell_angle_beta 101.46
_cell_angle_gamma 21.51
loop_
_atom_site_label
_atom_site_type_symbol
_atom_site_fract_x
_atom_site_fract_y
_atom_site_fract_z
Tm1 Tm 0.000 0.000 0.201
Sc1 Sc 0.383 0.383 0.942
C1 C 0.500 0.500 0.000
Sc2 Sc 0.617 0.617 0.058
Br1 Br 0.500 0.500 0.500
Tm2 Tm 0.000 0.000 0.799
Br2 Br 0.151 0.151 0.834
Br3 Br 0.850 0.850 0.686
Br4 Br 0.849 0.849 0.166
Br5 Br 0.150 0.150 0.314
```

Summary:
The value obtained for the energy is -53.259 eV/cell.


(4)
GdLuFe2Br2 after structural relaxation, computed with PBE.

```
data_GdLuFe2Br2
_symmetry_space_group_name_H-M 'P 1'
_symmetry_Int_Tables_number 1
_symmetry_space_group_name_Hall 'P 1'
_cell_length_a 3.838
_cell_length_b 3.838
_cell_length_c 11.542
_cell_angle_alpha 90.00
_cell_angle_beta 90.00
_cell_angle_gamma 120.00
loop_
_atom_site_label
_atom_site_type_symbol
_atom_site_fract_x
_atom_site_fract_y
_atom_site_fract_z
Br1 Br 0.333 0.667 0.340
Gd1 Gd 0.000 0.000 0.170
Br2 Br 0.667 0.333 0.668
Fe1 Fe 0.333 0.667 0.989
Fe2 Fe 0.667 0.333 0.002
Lu1 Lu 0.000 0.000 0.831
```

Summary:
The value obtained for the energy is -34.727 eV/cell.


(5)
Nd2TmSn3Pd3 after structural relaxation, computed with PBE.

```
data_Nd2TmSn3Pd3
_symmetry_space_group_name_H-M 'P 1'
_symmetry_Int_Tables_number 1
_symmetry_space_group_name_Hall 'P 1'
_cell_length_a 4.089
_cell_length_b 7.586
_cell_length_c 7.586
_cell_angle_alpha 119.66
_cell_angle_beta 90.00
_cell_angle_gamma 90.00
loop_
_atom_site_label
_atom_site_type_symbol
_atom_site_fract_x
_atom_site_fract_y
_atom_site_fract_z
Nd1 Nd 0.000 0.001 0.411
Tm1 Tm 0.000 0.592 0.592
Nd2 Nd 0.000 0.411 0.001
Sn1 Sn 0.500 0.997 0.745
Sn2 Sn 0.500 0.255 0.255
Pd1 Pd 0.500 0.343 0.664
Pd2 Pd 0.000 0.993 0.993
Pd3 Pd 0.500 0.664 0.343
Sn3 Sn 0.500 0.745 0.997
```

Summary:
The value obtained for the energy is -49.789 eV/cell.


(6)
Hf2ZrC3 after structural relaxation, computed with PBE.

```
data_Hf2ZrC3
_symmetry_space_group_name_H-M 'P 1'
_symmetry_Int_Tables_number 1
_symmetry_space_group_name_Hall 'P 1'
_cell_length_a 3.302
_cell_length_b 3.302
_cell_length_c 8.083
_cell_angle_alpha 90.00
_cell_angle_beta 90.00
_cell_angle_gamma 120.00
loop_
_atom_site_label
_atom_site_type_symbol
_atom_site_fract_x
_atom_site_fract_y
_atom_site_fract_z
C1 C 0.000 0.000 0.000
Hf1 Hf 0.667 0.333 0.835
C2 C 0.333 0.667 0.670
Zr1 Zr 0.000 0.000 0.500
C3 C 0.667 0.333 0.330
Hf2 Hf 0.333 0.667 0.165
```

Summary:
The value obtained for the energy is -61.505 eV/cell.